No. 1
# Rb2BiRu

A geometry-optimized Rb2BiRu structure (PBE, Alexandria via LeMat-Bulk).

Cell lengths 13.3766, 13.3766, 9.8081 Å; angles 47.01, 47.01, 90.00 degrees
Last column: magnetic moment on the atom in μB.
Atoms (fractional coordinates):
Ru  0.5000  0.5000  0.0000  0.82
Ru  0.2500  0.7500  0.5000  0.81
Bi  0.0000  0.0000  0.0000  -0.02
Bi  0.7500  0.2500  0.5000  -0.02
Rb  0.3814  0.1250  0.2500  0.00
Rb  0.3686  0.6250  0.2500  0.00
Rb  0.3750  0.6186  0.7500  0.00
Rb  0.8750  0.6314  0.7500  0.00

## Properties
total moment: 1.75 μB per cell
energy of formation from the pure elements: 484 meV per atom
space group: No. 122


No. 2
# RbBiRu3

A geometry-optimized RbBiRu3 structure (PBE, Alexandria via LeMat-Bulk).

Cell lengths 4.8594, 4.8594, 4.8594 Å; angles 90.00, 90.00, 90.00 degrees
Last column: magnetic moment on the atom in μB.
Atoms (fractional coordinates):
Ru  0.0000  0.5000  0.0000  1.41
Ru  0.0000  0.0000  0.5000  1.04
Ru  0.5000  0.0000  0.0000  1.11
Bi  0.5000  0.5000  0.5000  -0.13
Rb  0.0000  0.0000  0.0000  0.04

## Properties
total moment: 3.58 μB per cell
distance to the lowest polymorph of the same formula: 93.7 kJ per mole of atoms
energy of formation from the pure elements: 2714 meV per atom
space group: No. 221


Repeat the second record exactly.
# RbBiRu3

A geometry-optimized RbBiRu3 structure (PBE, Alexandria via LeMat-Bulk).

Cell lengths 4.8594, 4.8594, 4.8594 Å; angles 90.00, 90.00, 90.00 degrees
Last column: magnetic moment on the atom in μB.
Atoms (fractional coordinates):
Ru  0.0000  0.5000  0.0000  1.41
Ru  0.0000  0.0000  0.5000  1.04
Ru  0.5000  0.0000  0.0000  1.11
Bi  0.5000  0.5000  0.5000  -0.13
Rb  0.0000  0.0000  0.0000  0.04

## Properties
total moment: 3.58 μB per cell
distance to the lowest polymorph of the same formula: 93.7 kJ per mole of atoms
energy of formation from the pure elements: 2714 meV per atom
space group: No. 221